The following is a PBE-GGA calculation of crystalline TaGaRe2 at its relaxed geometry, from OQMD.

Lattice parameters (Å, degrees): 4.452 4.452 4.452 60.00 60.00 60.00
Sites, in units of the cell vectors:
1 Ta 0.000 0.000 0.000
2 Ga 0.750 0.750 0.750
3 Re 0.250 0.250 0.250
4 Re 0.500 0.500 0.500

Computed properties:
DFT total energy: -9.7775 eV/atom
magnetization: 0.00 μB/f.u.
crystal system: cubic